Crystalline KP2H6Se at its relaxed geometry. Source: Alexandria via LeMat-Bulk, functional PBE.

a = 6.761 Å, b = 6.761 Å, c = 7.029 Å
α = 90.53°, β = 90.53°, γ = 109.50°
Element x y z (fractional)
K (0.202, 0.798, 0.250)
K (0.798, 0.202, 0.750)
P (0.288, 0.203, 0.746)
P (0.797, 0.712, 0.754)
P (0.712, 0.797, 0.254)
P (0.203, 0.288, 0.246)
H (0.984, 0.305, 0.245)
H (0.695, 0.016, 0.255)
H (0.016, 0.695, 0.755)
H (0.305, 0.984, 0.745)
H (0.268, 0.436, 0.096)
H (0.564, 0.732, 0.404)
H (0.732, 0.564, 0.904)
H (0.436, 0.268, 0.596)
H (0.269, 0.437, 0.399)
H (0.563, 0.731, 0.101)
H (0.731, 0.563, 0.601)
H (0.437, 0.269, 0.899)
Se (0.673, 0.327, 0.250)
Se (0.327, 0.673, 0.750)

Computed properties:
ρ: 2.04 Mg/m³
volume: 15.140 A^3/atom
spin magnetization: 0.0 μB/cell
D(E_F): 4.52 states/eV/cell
total energy: -3.657 eV/atom